Entry 1:
DFT (PBE) results for an optimized crystal structure of BaCd9Pb2.

## Properties
* energy of formation from the pure elements: -0.117 eV/atom
* crystal system: trigonal

Lattice parameters (Å, degrees): 6.2013 6.2013 28.5871 90.00 90.00 120.00
Last column: nearest neighbours and their distance in Å.
Space group R-3m (No. 166, hexagonal axes)
One atom of each set of equivalent atoms:
Ba  0.0000  0.0000  0.0000 x3  18 Cd 3.58-3.95, 2 Pb 3.98
Cd  0.0000  0.0000  0.3337 x6  6 Cd 3.02-3.04
Cd  0.0000  0.0000  0.5000 x3  6 Cd 2.95
Cd  0.0056  0.5028  0.9147 x18  7 Cd 2.95-3.15
Pb  0.0000  0.0000  0.1391 x6  12 Cd 3.46-3.67


Entry 2:
DFT (PBE) results for an optimized crystal structure of Ba4PHS2.

## Properties
* crystal system: orthorhombic
* raw total energy: -143.72 eV for the cell shown

Lattice parameters (Å, degrees): 9.1399 9.1521 12.7556 90.00 90.00 90.00
Last column: nearest neighbours and their distance in Å.
Space group Imma (No. 74)
One atom of each set of equivalent atoms:
Ba  0.0000  0.0038  0.2492 x8  1 H 3.18, 3 S 3.20-3.26, 2 P 3.21
Ba  0.2415  0.2500  0.4973 x8  1 P 3.16, 3 S 3.18-3.22, 2 H 3.29
P  0.2500  0.2500  0.2500 x4  6 Ba 3.16-3.21
H  0.0000  0.0000  0.0000 x4  6 Ba 3.18-3.29
S  0.0000  0.0000  0.5000 x4  6 Ba 3.18-3.20
S  0.2500  0.2500  0.7500 x4  6 Ba 3.22-3.26


Entry 3:
DFT (PBE) results for an optimized crystal structure of Ba3As2Pd5.

## Properties
* energy of formation from the pure elements: -0.479 eV/atom
* crystal system: orthorhombic

Lattice parameters (Å, degrees): 11.0499 14.0980 6.4191 90.00 90.00 90.00
Last column: nearest neighbours and their distance in Å.
Space group Ibam (No. 72)
One atom of each set of equivalent atoms:
Ba  0.0000  0.0000  0.2500 x4  2 Pd 3.08, 4 As 3.20, 2 Ba 3.21
Ba  0.2069  0.3742  0.0000 x8  3 As 3.21-3.54, 7 Pd 3.31-3.56
As  0.1620  0.1495  0.0000 x8  3 Pd 2.47-2.59
Pd  0.0000  0.2184  0.2500 x8  2 As 2.59, 2 Pd 2.90
Pd  0.0000  0.5000  0.2500 x4  4 Pd 2.80
Pd  0.1147  0.3644  0.5000 x8  1 As 2.47


Entry 4:
DFT (PBE) results for an optimized crystal structure of Zn3AuC.

## Properties
* energy of formation from the pure elements: 0.422 eV/atom
* crystal system: cubic
* relative energy among the computed polymorphs: 0.00 eV per formula unit

Lattice parameters (Å, degrees): 4.1764 4.1764 4.1764 90.00 90.00 90.00
Last column: nearest neighbours and their distance in Å.
Space group Pm-3m (No. 221)
One atom of each set of equivalent atoms:
Zn  0.0000  0.0000  0.5000 x3  2 C 2.09
Au  0.5000  0.5000  0.5000 x1  12 Zn 2.95
C  0.0000  0.0000  0.0000 x1  6 Zn 2.09


Entry 5:
DFT (PBE) results for an optimized crystal structure of PrPdSe2.

## Properties
* formation energy (no corrections): -379 meV per atom
* crystal system: trigonal

Lattice parameters (Å, degrees): 3.8329 3.8329 25.5104 90.00 90.00 120.00
Last column: nearest neighbours and their distance in Å.
Space group R-3m (No. 166, hexagonal axes)
One atom of each set of equivalent atoms:
Pr  0.0000  0.0000  0.0000 x3  2 Se 2.92
Pd  0.0000  0.0000  0.5000 x3  6 Se 2.58
Se  0.0000  0.0000  0.1146 x6  3 Pd 2.58


Entry 6:
DFT (PBE) results for an optimized crystal structure of CeNdRuCl.

## Properties
* formation energy (no corrections): -920 meV per atom
* crystal system: trigonal

Lattice parameters (Å, degrees): 3.9442 3.9442 23.2589 90.00 90.00 120.00
Last column: nearest neighbours and their distance in Å.
Space group R3m (No. 160, hexagonal axes)
One atom of each set of equivalent atoms:
Ce  0.0000  0.0000  0.0000 x3  3 Ru 2.64
Nd  0.0000  0.0000  0.1964 x3  3 Ru 2.93, 3 Cl 3.20
Ru  0.0000  0.0000  0.6089 x3  3 Ce 2.64, 3 Nd 2.93
Cl  0.0000  0.0000  0.4331 x3  3 Nd 3.20, 3 Ce 3.25


Entry 7:
DFT (PBE) results for an optimized crystal structure of TiNbTc.

## Properties
* energy of formation from the pure elements: -0.268 eV/atom
* crystal system: trigonal
* relative energy among the computed polymorphs: 0.23 eV per formula unit

Lattice parameters (Å, degrees): 4.4002 4.4002 2.9114 90.00 90.00 120.00
Last column: nearest neighbours and their distance in Å.
Space group P3m1 (No. 156)
One atom of each set of equivalent atoms:
Ti  0.0000  0.0000  0.0000 x1  3 Tc 2.70, 3 Nb 2.77, 2 Ti 2.91
Nb  0.6667  0.3333  0.3787 x1  3 Tc 2.69, 3 Ti 2.77, 2 Nb 2.91
Tc  0.3333  0.6667  0.6831 x1  3 Nb 2.69, 3 Ti 2.70, 2 Tc 2.91


Entry 8:
DFT (PBE) results for an optimized crystal structure of AlP2Cl.

## Properties
* formation energy (no corrections): -45 meV per atom
* crystal system: orthorhombic
* relative energy among the computed polymorphs: 1.02 eV per formula unit

Lattice parameters (Å, degrees): 3.2259 6.8491 8.2109 90.00 90.00 90.00
Last column: nearest neighbours and their distance in Å.
Space group Imm2 (No. 44)
One atom of each set of equivalent atoms:
Al  0.0000  0.0000  0.0000 x2  2 Cl 2.32, 2 P 2.52
P  0.0000  0.0000  0.5861 x2  2 P 2.18
P  0.0000  0.5000  0.2649 x2  2 P 2.18
Cl  0.0000  0.5000  0.7032 x2  2 Al 2.32


Entry 9:
DFT (PBE) results for an optimized crystal structure of Zn2Ni2Pb.

## Properties
* energy of formation from the pure elements: 0.034 eV/atom
* crystal system: tetragonal
* relative energy among the computed polymorphs: 0.00 eV per formula unit

Lattice parameters (Å, degrees): 6.9660 6.9660 3.1781 90.00 90.00 90.00
Last column: nearest neighbours and their distance in Å.
Space group P4/mbm (No. 127)
One atom of each set of equivalent atoms:
Zn  0.1446  0.3554  0.0000 x4  6 Ni 2.55-2.64, 1 Zn 2.85
Ni  0.1416  0.6416  0.5000 x4  6 Zn 2.55-2.64, 2 Pb 2.68, 1 Ni 2.79
Pb  0.0000  0.0000  0.5000 x2  4 Ni 2.68


Entry 10:
DFT (PBE) results for an optimized crystal structure of BeRuSe.

## Properties
* formation energy (no corrections): 442 meV per atom
* crystal system: orthorhombic
* relative energy among the computed polymorphs: 1.03 eV per formula unit

Lattice parameters (Å, degrees): 3.0373 4.8197 11.5813 90.00 90.00 90.00
Last column: nearest neighbours and their distance in Å.
Space group Fmm2 (No. 42)
One atom of each set of equivalent atoms:
Be  0.0000  0.0000  0.0000 x4  2 Ru 2.25, 2 Se 2.47
Ru  0.0000  0.0000  0.3565 x4  2 Be 2.25
Se  0.0000  0.0000  0.6686 x4  2 Be 2.47, 2 Ru 2.65


Entry 11:
DFT (PBE) results for an optimized crystal structure of Ca4Hg.

## Properties
* energy of formation from the pure elements: 0.145 eV/atom
* crystal system: tetragonal
* relative energy among the computed polymorphs: 1.62 eV per formula unit

Lattice parameters (Å, degrees): 4.4419 4.4419 19.5452 90.00 90.00 90.00
Last column: nearest neighbours and their distance in Å.
Space group I4/mmm (No. 139)
One atom of each set of equivalent atoms:
Ca  0.0000  0.0000  0.0877 x4  1 Ca 3.43, 4 Hg 3.58
Ca  0.0000  0.5000  0.2500 x4  4 Ca 3.14
Hg  0.0000  0.0000  0.5000 x2  8 Ca 3.58


Entry 12:
DFT (PBE) results for an optimized crystal structure of CdP3.

## Properties
* energy of formation from the pure elements: 0.232 eV/atom
* crystal system: orthorhombic
* relative energy among the computed polymorphs: 1.06 eV per formula unit

Lattice parameters (Å, degrees): 7.1249 14.9666 3.1323 90.00 90.00 90.00
Last column: nearest neighbours and their distance in Å.
Space group Cmcm (No. 63)
One atom of each set of equivalent atoms:
Cd  0.0000  0.0811  0.2500 x4  2 P 2.66, 2 Cd 2.89
P  0.0000  0.3685  0.2500 x4  4 P 2.37
P  0.2125  0.3058  0.7500 x8  4 P 2.35-2.37